1.
# Cr2TcAgSb, relaxed, DFT PBE-GGA
data_Cr2TcAgSb
_chemical_formula_sum 'Cr2 Tc1 Ag1 Sb1'
_space_group_name_H-M_alt 'P 4/m m m'
_space_group_IT_number 123
_space_group_name_Hall '-P 4 2'
_cell_length_a 4.766
_cell_length_b 4.766
_cell_length_c 4.926
_cell_angle_alpha 90.00
_cell_angle_beta 90.00
_cell_angle_gamma 90.00
loop_
_atom_site_label
_atom_site_type_symbol
_atom_site_fract_x
_atom_site_fract_y
_atom_site_fract_z
Cr1 Cr 0.000 0.500 0.000
Tc1 Tc 0.000 0.000 0.500
Ag1 Ag 0.500 0.500 0.500
Sb1 Sb 0.000 0.000 0.000
# VASP energy = -26.8 eV/cell
# Total magnetization = 1.961 Bohr magnetons per cell
# DOS(E_F) = 1.7526 states/eV per atom

---

2.
# BaHo2CrN4, relaxed, DFT PBE-GGA
data_BaHo2CrN4
_chemical_formula_sum 'Ba4 Ho8 Cr4 N16'
_space_group_name_H-M_alt 'C m c m'
_space_group_IT_number 63
_space_group_name_Hall '-C 2c 2'
_cell_length_a 3.459
_cell_length_b 12.191
_cell_length_c 11.701
_cell_angle_alpha 90.00
_cell_angle_beta 90.00
_cell_angle_gamma 90.00
loop_
_atom_site_label
_atom_site_type_symbol
_atom_site_fract_x
_atom_site_fract_y
_atom_site_fract_z
Ba1 Ba 0.000 0.087 0.250
Ho1 Ho 0.000 0.370 0.042
Cr1 Cr 0.000 0.180 0.750
N1 N 0.000 0.000 0.000
N2 N 0.000 0.256 0.619
N3 N 0.000 0.395 0.250
# VASP energy = -253.9 eV/cell
# Total magnetization = 7.292 Bohr magnetons per cell
# DOS(E_F) = 0.2263 states/eV per atom

---

3.
# TbErScZn, relaxed, DFT PBE-GGA
data_TbErScZn
_chemical_formula_sum 'Tb4 Er4 Sc4 Zn4'
_space_group_name_H-M_alt 'F -4 3 m'
_space_group_IT_number 216
_space_group_name_Hall 'F -4 2 3'
_cell_length_a 7.354
_cell_length_b 7.354
_cell_length_c 7.354
_cell_angle_alpha 90.00
_cell_angle_beta 90.00
_cell_angle_gamma 90.00
loop_
_atom_site_label
_atom_site_type_symbol
_atom_site_fract_x
_atom_site_fract_y
_atom_site_fract_z
Tb1 Tb 0.000 0.000 0.000
Er1 Er 0.000 0.000 0.500
Sc1 Sc 0.250 0.250 0.750
Zn1 Zn 0.250 0.250 0.250
# ΔH_f (0 K) = -8 meV/atom
# Total magnetization = 0.007 Bohr magnetons per cell
# DOS(E_F) = 1.0732 states/eV per atom
# Distance to the lowest polymorph of the same formula = 0.54 eV/f.u.

---

Q: Which value of total magnetization does entry 3 give?
A: 0.007 Bohr magnetons per cell